1.
# Pr2TlPd (PBE-GGA, optimized geometry)
# calculated volume = 371.7 Å³/cell
# raw total energy = -4.690 eV per atom
# DOS at the Fermi energy = 1.1924 states/eV/atom
# formation energy from the elements = -9.462 kcal/mol of atoms
data_Pr2TlPd
_cell_length_a 4.0972
_cell_length_b 4.0972
_cell_length_c 25.5655
_cell_angle_alpha 90.00
_cell_angle_beta 90.00
_cell_angle_gamma 120.00
_space_group_name_H-M_alt 'R 3 m'
_space_group_IT_number 160
_space_group_name_Hall 'R 3 -2"'
loop_
_atom_site_label
_atom_site_fract_x
_atom_site_fract_y
_atom_site_fract_z
Pr1 0.0000 0.0000 0.0000
Pr2 0.0000 0.0000 0.1959
Tl1 0.0000 0.0000 0.7652
Pd1 0.0000 0.0000 0.5984



2.
# Li3TeP (PBE-GGA, optimized geometry)
# calculated volume = 136.4 Å³/cell
# raw total energy = -2.967 eV per atom
# DOS at the Fermi energy = 0.5238 states/eV/atom
# distance to the lowest polymorph of the same formula = 257 meV per atom
data_Li3TeP
_cell_length_a 5.1474
_cell_length_b 5.1474
_cell_length_c 5.1474
_cell_angle_alpha 90.00
_cell_angle_beta 90.00
_cell_angle_gamma 90.00
_space_group_name_H-M_alt 'P m -3 m'
_space_group_IT_number 221
_space_group_name_Hall '-P 4 2 3'
loop_
_atom_site_label
_atom_site_fract_x
_atom_site_fract_y
_atom_site_fract_z
Li1 0.0000 0.0000 0.5000
Te1 0.0000 0.0000 0.0000
P1 0.5000 0.5000 0.5000



3.
# NaMg14Cu (PBE-GGA, optimized geometry)
# calculated volume = 713.1 Å³/cell
# raw total energy = -1.701 eV per atom
# DOS at the Fermi energy = 0.2422 states/eV/atom
# formation energy from the elements = 0.755 kcal/mol of atoms
# distance to the lowest polymorph of the same formula = 2 meV per atom
data_NaMg14Cu
_cell_length_a 10.3406
_cell_length_b 6.3116
_cell_length_c 10.9257
_cell_angle_alpha 90.00
_cell_angle_beta 90.00
_cell_angle_gamma 90.00
_space_group_name_H-M_alt 'A m m 2'
_space_group_IT_number 38
loop_
_space_group_symop_operation_xyz
'x,y,z'
'-x,-y,z'
'-x,y,z'
'x,-y,z'
'x,y+1/2,z+1/2'
'-x,-y+1/2,z+1/2'
'-x,y+1/2,z+1/2'
'x,-y+1/2,z+1/2'
loop_
_atom_site_label
_atom_site_fract_x
_atom_site_fract_y
_atom_site_fract_z
Na1 0.0000 0.0000 0.0000
Mg1 0.0000 0.2435 0.7509
Mg2 0.2345 0.0000 0.3410
Mg3 0.2425 0.2441 0.5857
Mg4 0.2552 0.0000 0.8355
Mg5 0.5000 0.0000 0.0049
Mg6 0.5000 0.0000 0.5029
Mg7 0.5000 0.2468 0.2527
Cu1 0.0000 0.0000 0.5099



4.
# LiBC (PBE-GGA, optimized geometry)
# calculated volume = 75.4 Å³/cell
# raw total energy = -5.864 eV per atom
# DOS at the Fermi energy = 0.0000 states/eV/atom
# formation energy from the elements = 1.722 kcal/mol of atoms
data_LiBC
_cell_length_a 5.1951
_cell_length_b 2.9058
_cell_length_c 4.9921
_cell_angle_alpha 90.00
_cell_angle_beta 90.00
_cell_angle_gamma 90.00
_space_group_name_H-M_alt 'P n m a'
_space_group_IT_number 62
loop_
_space_group_symop_operation_xyz
'x,y,z'
'-x,-y,-z'
'-x+1/2,-y,z+1/2'
'x+1/2,y,-z+1/2'
'x+1/2,-y+1/2,-z+1/2'
'-x+1/2,y+1/2,z+1/2'
'-x,y+1/2,-z'
'x,-y+1/2,z'
loop_
_atom_site_label
_atom_site_fract_x
_atom_site_fract_y
_atom_site_fract_z
Li1 0.0132 0.2500 0.1707
B1 0.1569 0.2500 0.5846
C1 0.1888 0.7500 0.3986